Computed, not measured: an optimized crystal structure of BaVF3 at the PBE+U level of DFT. Values from VASP.

The structure in Quantum ESPRESSO input format:
```
&SYSTEM
  ibrav = 0, nat = 5, ntyp = 3
/
ATOMIC_SPECIES
Ba 137.33 Ba.upf
V 50.94 V.upf
F 19.00 F.upf
CELL_PARAMETERS angstrom
5.0608 0.0000 0.0000
0.0000 5.0608 0.0000
0.0000 0.0000 5.0608
ATOMIC_POSITIONS crystal
Ba 0.0000 0.0000 0.0000
V 0.5000 0.5000 0.5000
F 0.0000 0.0000 0.5000
F 0.0000 0.5000 0.0000
F 0.5000 0.0000 0.0000
```

Results
**Energy**: -24.5 eV/cell
**Relative energy among the computed polymorphs**: 0.6288 eV/atom